Entry 1:
# InCI2, optimized geometry, DFT GGA-PBEsol
data_InCI2
_chemical_formula_sum 'In4 C4 I8'
_cell_length_a 7.4073
_cell_length_b 7.4073
_cell_length_c 7.4073
_cell_angle_alpha 90.00
_cell_angle_beta 90.00
_cell_angle_gamma 90.00
_space_group_name_H-M_alt 'F m -3 m'
_space_group_IT_number 225
_space_group_name_Hall '-F 4 2 3'
loop_
_atom_site_label
_atom_site_fract_x
_atom_site_fract_y
_atom_site_fract_z
In1 0.0000 0.0000 0.0000
C1 0.0000 0.0000 0.5000
I1 0.2500 0.2500 0.2500
# Crystal system ... cubic
# Energy ... -2.4966 eV per atom


Entry 2:
# InCIO2, optimized geometry, DFT GGA-PBEsol
data_InCIO2
_chemical_formula_sum 'In1 C1 I1 O2'
_cell_length_a 3.9160
_cell_length_b 3.9160
_cell_length_c 6.8804
_cell_angle_alpha 90.00
_cell_angle_beta 90.00
_cell_angle_gamma 90.00
_space_group_name_H-M_alt 'P 4/m m m'
_space_group_IT_number 123
_space_group_name_Hall '-P 4 2'
loop_
_atom_site_label
_atom_site_fract_x
_atom_site_fract_y
_atom_site_fract_z
In1 0.0000 0.0000 0.0000
C1 0.5000 0.5000 0.5000
I1 0.0000 0.0000 0.5000
O1 0.0000 0.5000 0.0000
# Crystal system ... tetragonal
# Energy ... -3.9873 eV per atom


Entry 3:
# IrC3I, optimized geometry, DFT GGA-PBEsol
data_IrC3I
_chemical_formula_sum 'Ir1 C3 I1'
_cell_length_a 4.0545
_cell_length_b 4.0545
_cell_length_c 4.0545
_cell_angle_alpha 90.00
_cell_angle_beta 90.00
_cell_angle_gamma 90.00
_space_group_name_H-M_alt 'P m -3 m'
_space_group_IT_number 221
_space_group_name_Hall '-P 4 2 3'
loop_
_atom_site_label
_atom_site_fract_x
_atom_site_fract_y
_atom_site_fract_z
Ir1 0.0000 0.0000 0.0000
C1 0.0000 0.0000 0.5000
I1 0.5000 0.5000 0.5000
# Crystal system ... cubic
# Energy ... -5.9962 eV per atom


Entry 4:
# IrCI2, optimized geometry, DFT GGA-PBEsol
data_IrCI2
_chemical_formula_sum 'Ir4 C4 I8'
_cell_length_a 6.6277
_cell_length_b 6.6277
_cell_length_c 6.6277
_cell_angle_alpha 90.00
_cell_angle_beta 90.00
_cell_angle_gamma 90.00
_space_group_name_H-M_alt 'F m -3 m'
_space_group_IT_number 225
_space_group_name_Hall '-F 4 2 3'
loop_
_atom_site_label
_atom_site_fract_x
_atom_site_fract_y
_atom_site_fract_z
Ir1 0.0000 0.0000 0.0000
C1 0.0000 0.0000 0.5000
I1 0.2500 0.2500 0.2500
# Crystal system ... cubic
# Energy ... -3.6669 eV per atom


What did the first record say?
# InCI2, optimized geometry, DFT GGA-PBEsol
data_InCI2
_chemical_formula_sum 'In4 C4 I8'
_cell_length_a 7.4073
_cell_length_b 7.4073
_cell_length_c 7.4073
_cell_angle_alpha 90.00
_cell_angle_beta 90.00
_cell_angle_gamma 90.00
_space_group_name_H-M_alt 'F m -3 m'
_space_group_IT_number 225
_space_group_name_Hall '-F 4 2 3'
loop_
_atom_site_label
_atom_site_fract_x
_atom_site_fract_y
_atom_site_fract_z
In1 0.0000 0.0000 0.0000
C1 0.0000 0.0000 0.5000
I1 0.2500 0.2500 0.2500
# Crystal system ... cubic
# Energy ... -2.4966 eV per atom